Compound: Pm4Nd6Y
Source: Alexandria via LeMat-Bulk
Functional: PBE
Structure: optimized geometry

Mass density in Mg/m³: 6.463
Energy relative to the lowest polymorph listed for this composition in eV/atom: 0.000
Energy of formation from the pure elements in eV per atom: 0.280

Cell: 6.704 6.704 17.543 Å, 90.00 90.00 90.00°
Space group I-42m (No. 121)
Inequivalent atoms, fractional coordinates:
Pm 0.188 0.188 0.323 (multiplicity 8)
Nd 0.000 0.500 0.000 (multiplicity 4)
Nd 0.178 0.178 0.129 (multiplicity 8)
Y 0.000 0.000 0.500 (multiplicity 2)



Compound: Sr2SmH6Ru
Source: Alexandria via LeMat-Bulk
Functional: PBE
Structure: optimized geometry

Mass density in Mg/m³: 4.686
E_tot in eV/cell: -41.74

Cell: 5.3772 5.3772 6.1235 Å, 90.00 90.00 120.00°
Space group P-3m1 (No. 164)
Inequivalent atoms, fractional coordinates:
Sr 0.3333 0.6667 0.3311 (multiplicity 2)
Sm 0.0000 0.0000 0.0000 (multiplicity 1)
H 0.1500 0.3000 0.6707 (multiplicity 6)
Ru 0.0000 0.0000 0.5000 (multiplicity 1)



Compound: NaHgIN2
Source: Alexandria via LeMat-Bulk
Functional: PBE
Structure: optimized geometry

Mass density in Mg/m³: 4.397
Formation energy without anion corrections in eV/atom: 1.228
Energy relative to the lowest polymorph listed for this composition in eV/atom: 0.000

Cell: 4.394 4.394 7.405 Å, 90.00 90.00 90.00°
Space group P4/mmm (No. 123)
Inequivalent atoms, fractional coordinates:
Na 0.000 0.000 0.000 (multiplicity 1)
Hg 0.500 0.500 0.500 (multiplicity 1)
I 0.500 0.500 0.000 (multiplicity 1)
N 0.000 0.500 0.500 (multiplicity 2)



Compound: Dy2Al3ZnAu4
Source: Alexandria via LeMat-Bulk
Functional: PBE
Structure: optimized geometry

Mass density in Mg/m³: 10.533
Energy of formation from the pure elements in eV per atom: -0.648

Cell: 4.336 4.336 10.558 Å, 90.00 90.00 90.00°
Space group P-4m2 (No. 115)
Inequivalent atoms, fractional coordinates:
Dy 0.000 0.500 0.247 (multiplicity 2)
Al 0.000 0.000 0.000 (multiplicity 1)
Al 0.000 0.500 0.631 (multiplicity 2)
Zn 0.500 0.500 0.000 (multiplicity 1)
Au 0.000 0.000 0.500 (multiplicity 1)
Au 0.000 0.500 0.863 (multiplicity 2)
Au 0.500 0.500 0.500 (multiplicity 1)



For the records above, the corresponding magnetic moment values read 0.000, 0.000, 0.669, 0.000 μB/atom.